[1]
Nd2SiH GGA-PBE relaxed; energy above the lowest structure with this stoichiometry = 0.46 eV per formula unit; mass density = 4.24 g/cm³; magnetization = 0.00 Bohr magnetons per cell; N(E_F) = 0.667 states/eV/atom; total DFT energy (no corrections) = -4.85 eV per atom
1.0
-3.248 -2.362 1.702
0.203 -1.313 4.155
-4.488 5.118 4.126
H Si Nd
1 1 2
direct
0.000 0.000 0.000 H
0.500 0.500 0.500 Si
0.100 0.100 0.701 Nd
0.900 0.900 0.299 Nd

---

[2]
Nd2Si2Tc2H GGA-PBE relaxed; mass density = 7.11 g/cm³; magnetization = 0.00 Bohr magnetons per cell; N(E_F) = 0.636 states/eV/atom; total DFT energy (no corrections) = -6.91 eV per atom
1.0
4.137 0.000 0.000
0.000 4.137 0.000
-2.068 -2.068 7.394
Nd Si Tc H
2 2 2 1
direct
0.162 0.162 0.323 Nd
0.838 0.838 0.677 Nd
0.399 0.399 0.798 Si
0.601 0.601 0.202 Si
0.000 0.500 0.000 Tc
0.500 0.000 0.000 Tc
0.000 0.000 0.000 H

---

[3]
Nd8Si3Te4H GGA-PBE relaxed; mass density = 6.19 g/cm³; magnetization = 0.00 Bohr magnetons per cell; N(E_F) = 0.362 states/eV/atom; total DFT energy (no corrections) = -5.43 eV per atom
1.0
-0.808 8.550 0.937
-8.519 -1.024 1.996
5.961 -4.299 4.541
Nd Si Te H
8 3 4 1
direct
0.245 0.724 0.979 Nd
0.245 0.724 0.490 Nd
0.259 0.277 0.518 Nd
0.734 0.724 0.979 Nd
0.266 0.276 0.021 Nd
0.741 0.723 0.482 Nd
0.755 0.276 0.510 Nd
0.755 0.276 0.021 Nd
0.500 0.500 0.000 Si
0.500 0.500 0.500 Si
0.000 0.500 0.500 Si
0.500 0.000 0.000 Te
0.500 0.000 0.500 Te
0.000 0.000 0.000 Te
0.000 0.000 0.500 Te
0.000 0.500 0.000 H

---

[4]
Nd2Sm2H GGA-PBE relaxed; energy above the lowest structure with this stoichiometry = 0.00 eV per formula unit; mass density = 7.21 g/cm³; magnetization = 0.00 Bohr magnetons per cell; N(E_F) = 0.900 states/eV/atom; total DFT energy (no corrections) = -4.64 eV per atom
1.0
5.152 0.000 0.000
0.000 5.137 0.000
0.000 0.000 5.137
Nd Sm H
2 2 1
direct
0.500 0.500 0.500 Nd
0.500 0.000 0.000 Nd
0.000 0.000 0.500 Sm
0.000 0.500 0.000 Sm
0.000 0.000 0.000 H

---

[5]
Nd2Sm2H GGA-PBE relaxed; energy above the lowest structure with this stoichiometry = 0.01 eV per formula unit; mass density = 7.18 g/cm³; magnetization = 0.00 Bohr magnetons per cell; N(E_F) = 0.943 states/eV/atom; total DFT energy (no corrections) = -4.64 eV per atom
1.0
-4.250 2.538 1.373
-2.819 -4.208 -0.947
0.657 -1.537 4.875
Nd Sm H
2 2 1
direct
0.000 0.000 0.500 Nd
0.000 0.500 0.000 Nd
0.500 0.500 0.500 Sm
0.500 0.000 0.000 Sm
0.000 0.000 0.000 H

---

[6]
NdSm3H8 GGA-PBE relaxed; mass density = 6.39 g/cm³; magnetization = 0.00 Bohr magnetons per cell; N(E_F) = 0.209 states/eV/atom; total DFT energy (no corrections) = -4.49 eV per atom
1.0
5.393 0.000 0.000
0.000 5.393 0.000
0.000 0.000 5.393
Nd Sm H
1 3 8
direct
0.000 0.000 0.000 Nd
0.500 0.500 0.000 Sm
0.500 0.000 0.500 Sm
0.000 0.500 0.500 Sm
0.253 0.253 0.747 H
0.253 0.747 0.253 H
0.747 0.253 0.253 H
0.747 0.747 0.747 H
0.747 0.747 0.253 H
0.747 0.253 0.747 H
0.253 0.747 0.747 H
0.253 0.253 0.253 H

---

[7]
Nd2SmH6 GGA-PBE relaxed; mass density = 6.13 g/cm³; magnetization = 0.00 Bohr magnetons per cell; N(E_F) = 0.287 states/eV/atom; total DFT energy (no corrections) = -4.48 eV per atom
1.0
3.763 0.000 -0.793
-0.167 3.759 -0.793
-0.154 -0.161 8.593
Nd Sm H
2 1 6
direct
0.334 0.334 0.668 Nd
0.666 0.666 0.332 Nd
0.000 0.000 0.000 Sm
0.919 0.419 0.838 H
0.419 0.919 0.838 H
0.081 0.581 0.162 H
0.750 0.250 0.500 H
0.250 0.750 0.500 H
0.581 0.081 0.162 H

---

[8]
NdSm4H8 GGA-PBE relaxed; mass density = 6.35 g/cm³; magnetization = 2.19 Bohr magnetons per cell; N(E_F) = 0.669 states/eV/atom; total DFT energy (no corrections) = -4.05 eV per atom
1.0
-3.235 3.563 -3.271
-3.969 0.293 4.245
2.764 4.591 2.267
Nd Sm H
1 4 8
direct
0.500 0.500 0.500 Nd
0.000 0.500 0.500 Sm
0.000 0.000 0.000 Sm
0.500 0.500 0.000 Sm
0.500 0.000 0.500 Sm
0.257 0.743 0.743 H
0.743 0.257 0.743 H
0.743 0.743 0.257 H
0.257 0.257 0.257 H
0.257 0.743 0.257 H
0.743 0.257 0.257 H
0.743 0.743 0.743 H
0.257 0.257 0.743 H

---

[9]
Nd4SmH8 GGA-PBE relaxed; mass density = 5.95 g/cm³; magnetization = 1.26 Bohr magnetons per cell; N(E_F) = 0.645 states/eV/atom; total DFT energy (no corrections) = -4.10 eV per atom
1.0
5.899 0.000 0.000
0.000 5.899 0.000
0.000 0.000 5.899
Nd Sm H
4 1 8
direct
0.000 0.500 0.500 Nd
0.000 0.000 0.000 Nd
0.500 0.500 0.000 Nd
0.500 0.000 0.500 Nd
0.500 0.500 0.500 Sm
0.263 0.737 0.737 H
0.737 0.263 0.737 H
0.737 0.737 0.263 H
0.263 0.263 0.263 H
0.263 0.737 0.263 H
0.737 0.263 0.263 H
0.737 0.737 0.737 H
0.263 0.263 0.737 H

---

[10]
Nd2SmH GGA-PBE relaxed; energy above the lowest structure with this stoichiometry = 0.00 eV per formula unit; mass density = 6.92 g/cm³; magnetization = 0.00 Bohr magnetons per cell; N(E_F) = 0.666 states/eV/atom; total DFT energy (no corrections) = -4.56 eV per atom
1.0
3.718 0.000 0.000
1.859 3.220 0.000
1.859 1.073 8.810
H Nd Sm
1 2 1
direct
0.000 0.000 0.000 H
0.722 0.722 0.835 Nd
0.278 0.278 0.165 Nd
0.500 0.500 0.500 Sm